# Er2Ga2Co15 (GGA-PBE, relaxed)
# Crystal system = trigonal
# Formation energy = -135 meV/atom
data_Er2Ga2Co15
_space_group_name_H-M_alt 'R -3 m'
_space_group_IT_number 166
_space_group_name_Hall '-R 3 2"'
_cell_length_a 8.3359
_cell_length_b 8.3359
_cell_length_c 12.1925
_cell_angle_alpha 90.00
_cell_angle_beta 90.00
_cell_angle_gamma 120.00
loop_
_atom_site_label
_atom_site_type_symbol
_atom_site_fract_x
_atom_site_fract_y
_atom_site_fract_z
Er1 Er 0.0000 0.0000 0.1489
Ga1 Ga 0.0000 0.0000 0.3928
Co1 Co 0.0000 0.2899 0.5000
Co2 Co 0.0000 0.5000 0.0000
Co3 Co 0.0033 0.5016 0.6492

# LaDy6Ho8 (GGA-PBE, relaxed)
# Crystal system = trigonal
# Formation energy = 137 meV/atom
data_LaDy6Ho8
_space_group_name_H-M_alt 'R -3'
_space_group_IT_number 148
_space_group_name_Hall '-R 3'
_cell_length_a 9.0003
_cell_length_b 9.0003
_cell_length_c 20.6107
_cell_angle_alpha 90.00
_cell_angle_beta 90.00
_cell_angle_gamma 120.00
loop_
_atom_site_label
_atom_site_type_symbol
_atom_site_fract_x
_atom_site_fract_y
_atom_site_fract_z
La1 La 0.0000 0.0000 0.0000
Dy1 Dy 0.0588 0.8146 0.7083
Ho1 Ho 0.0000 0.0000 0.4232
Ho2 Ho 0.0804 0.5274 0.8083

# Ba2PmPdO5 (GGA-PBE, relaxed)
# Crystal system = orthorhombic
data_Ba2PmPdO5
_space_group_name_H-M_alt 'C m c 21'
_space_group_IT_number 36
_space_group_name_Hall 'C 2c -2'
_cell_length_a 3.832
_cell_length_b 13.797
_cell_length_c 11.929
_cell_angle_alpha 90.00
_cell_angle_beta 90.00
_cell_angle_gamma 90.00
loop_
_atom_site_label
_atom_site_type_symbol
_atom_site_fract_x
_atom_site_fract_y
_atom_site_fract_z
Ba1 Ba 0.000 0.094 0.000
Ba2 Ba 0.000 0.146 0.641
Pm1 Pm 0.000 0.202 0.347
Pd1 Pd 0.000 0.479 0.769
O1 O 0.000 0.031 0.315
O2 O 0.000 0.282 0.969
O3 O 0.000 0.330 0.724
O4 O 0.000 0.368 0.315
O5 O 0.000 0.483 0.090

# MnNb3H (GGA-PBE, relaxed)
# Crystal system = cubic
# E above lowest polymorph = 0.0000 eV per atom
data_MnNb3H
_space_group_name_H-M_alt 'P m -3 m'
_space_group_IT_number 221
_space_group_name_Hall '-P 4 2 3'
_cell_length_a 4.120
_cell_length_b 4.120
_cell_length_c 4.120
_cell_angle_alpha 90.00
_cell_angle_beta 90.00
_cell_angle_gamma 90.00
loop_
_atom_site_label
_atom_site_type_symbol
_atom_site_fract_x
_atom_site_fract_y
_atom_site_fract_z
Mn1 Mn 0.000 0.000 0.000
Nb1 Nb 0.000 0.500 0.500
H1 H 0.500 0.500 0.500

# Li2RuSe (GGA-PBE, relaxed)
# Crystal system = tetragonal
data_Li2RuSe
_space_group_name_H-M_alt 'I 4/m m m'
_space_group_IT_number 139
_space_group_name_Hall '-I 4 2'
_cell_length_a 3.658
_cell_length_b 3.658
_cell_length_c 8.369
_cell_angle_alpha 90.00
_cell_angle_beta 90.00
_cell_angle_gamma 90.00
loop_
_atom_site_label
_atom_site_type_symbol
_atom_site_fract_x
_atom_site_fract_y
_atom_site_fract_z
Li1 Li 0.000 0.500 0.250
Ru1 Ru 0.000 0.000 0.000
Se1 Se 0.000 0.000 0.500

# BeSbBr2 (GGA-PBE, relaxed)
# Crystal system = trigonal
# E above lowest polymorph = 0.3048 eV per atom
data_BeSbBr2
_space_group_name_H-M_alt 'R 3 m'
_space_group_IT_number 160
_space_group_name_Hall 'R 3 -2"'
_cell_length_a 3.6667
_cell_length_b 3.6667
_cell_length_c 26.1462
_cell_angle_alpha 90.00
_cell_angle_beta 90.00
_cell_angle_gamma 120.00
loop_
_atom_site_label
_atom_site_type_symbol
_atom_site_fract_x
_atom_site_fract_y
_atom_site_fract_z
Be1 Be 0.0000 0.0000 0.0000
Sb1 Sb 0.0000 0.0000 0.2683
Br1 Br 0.0000 0.0000 0.5199
Br2 Br 0.0000 0.0000 0.7167

# Y2ZrAl (GGA-PBE, relaxed)
# Crystal system = tetragonal
# Formation energy = -121 meV/atom
data_Y2ZrAl
_space_group_name_H-M_alt 'I 4/m m m'
_space_group_IT_number 139
_space_group_name_Hall '-I 4 2'
_cell_length_a 4.569
_cell_length_b 4.569
_cell_length_c 9.496
_cell_angle_alpha 90.00
_cell_angle_beta 90.00
_cell_angle_gamma 90.00
loop_
_atom_site_label
_atom_site_type_symbol
_atom_site_fract_x
_atom_site_fract_y
_atom_site_fract_z
Y1 Y 0.000 0.500 0.250
Zr1 Zr 0.000 0.000 0.000
Al1 Al 0.000 0.000 0.500

# HPtNF2 (GGA-PBE, relaxed)
# Crystal system = tetragonal
# E above lowest polymorph = 0.0000 eV per atom
data_HPtNF2
_space_group_name_H-M_alt 'P 4/m m m'
_space_group_IT_number 123
_space_group_name_Hall '-P 4 2'
_cell_length_a 4.321
_cell_length_b 4.321
_cell_length_c 3.682
_cell_angle_alpha 90.00
_cell_angle_beta 90.00
_cell_angle_gamma 90.00
loop_
_atom_site_label
_atom_site_type_symbol
_atom_site_fract_x
_atom_site_fract_y
_atom_site_fract_z
H1 H 0.000 0.000 0.000
Pt1 Pt 0.500 0.500 0.500
N1 N 0.500 0.500 0.000
F1 F 0.000 0.500 0.500

# AgSn2F8 (GGA-PBE, relaxed)
# Crystal system = monoclinic
# E above lowest polymorph = 0.0000 eV per atom
data_AgSn2F8
_space_group_name_H-M_alt 'C 1 2/m 1'
_space_group_IT_number 12
_space_group_name_Hall '-C 2y'
_cell_length_a 9.239
_cell_length_b 6.823
_cell_length_c 5.517
_cell_angle_alpha 90.00
_cell_angle_beta 97.66
_cell_angle_gamma 90.00
loop_
_atom_site_label
_atom_site_type_symbol
_atom_site_fract_x
_atom_site_fract_y
_atom_site_fract_z
Ag1 Ag 0.000 0.000 0.000
Sn1 Sn 0.185 0.500 0.447
F1 F 0.047 0.500 0.724
F2 F 0.144 0.191 0.363
F3 F 0.219 0.000 0.857

# SrCa2Dy (GGA-PBE, relaxed)
# Crystal system = tetragonal
# Formation energy = 107 meV/atom
# E above lowest polymorph = 0.0000 eV per atom
data_SrCa2Dy
_space_group_name_H-M_alt 'P 4/m m m'
_space_group_IT_number 123
_space_group_name_Hall '-P 4 2'
_cell_length_a 4.037
_cell_length_b 4.037
_cell_length_c 10.080
_cell_angle_alpha 90.00
_cell_angle_beta 90.00
_cell_angle_gamma 90.00
loop_
_atom_site_label
_atom_site_type_symbol
_atom_site_fract_x
_atom_site_fract_y
_atom_site_fract_z
Sr1 Sr 0.000 0.000 0.000
Ca1 Ca 0.500 0.500 0.280
Dy1 Dy 0.000 0.000 0.500

# CuAgPdPb (GGA-PBE, relaxed)
# Crystal system = cubic
# Formation energy = 28 meV/atom
data_CuAgPdPb
_space_group_name_H-M_alt 'F -4 3 m'
_space_group_IT_number 216
_space_group_name_Hall 'F -4 2 3'
_cell_length_a 6.610
_cell_length_b 6.610
_cell_length_c 6.610
_cell_angle_alpha 90.00
_cell_angle_beta 90.00
_cell_angle_gamma 90.00
loop_
_atom_site_label
_atom_site_type_symbol
_atom_site_fract_x
_atom_site_fract_y
_atom_site_fract_z
Cu1 Cu 0.000 0.000 0.000
Ag1 Ag 0.250 0.250 0.250
Pd1 Pd 0.000 0.000 0.500
Pb1 Pb 0.250 0.250 0.750

# PuInP2 (GGA-PBE, relaxed)
# Crystal system = tetragonal
# Formation energy = -475 meV/atom
# E above lowest polymorph = 0.0091 eV per atom
data_PuInP2
_space_group_name_H-M_alt 'P 4/m m m'
_space_group_IT_number 123
_space_group_name_Hall '-P 4 2'
_cell_length_a 4.581
_cell_length_b 4.581
_cell_length_c 3.643
_cell_angle_alpha 90.00
_cell_angle_beta 90.00
_cell_angle_gamma 90.00
loop_
_atom_site_label
_atom_site_type_symbol
_atom_site_fract_x
_atom_site_fract_y
_atom_site_fract_z
Pu1 Pu 0.000 0.000 0.000
In1 In 0.500 0.500 0.000
P1 P 0.000 0.500 0.500

It is found that the E values, taken in the order of the records, are -6.544, -4.473, -6.395, -8.318, -4.310, -2.815, -6.426, -3.977, -4.443, -2.465, -3.934, -7.448 eV per atom.